VASP calculation (PBE) on an optimized crystal structure of CePrNd6Er2.

Summary:
**D(E_F)**: 2.30 states/eV/atom
**Space group**: C2/m (12)
**DFT formation energy**: 0.2346 eV per atom
**Crystal system**: monoclinic

Cell: 8.970 6.985 6.659 Å, 121.64 100.52 90.00°
Atoms (fractional coordinates):
Nd: 0.199 0.596 0.664
Nd: 0.199 0.068 0.664
Nd: 0.801 0.932 0.336
Nd: 0.419 0.632 0.264
Nd: 0.801 0.404 0.336
Nd: 0.581 0.368 0.736
Er: 0.844 0.907 0.814
Er: 0.156 0.093 0.186
Ce: 0.000 0.500 0.000
Pr: 0.500 0.000 0.000

---

VASP calculation (PBE) on an optimized crystal structure of Cs2PuCl3F3.

Summary:
**D(E_F)**: 0.79 states/eV/atom
**Space group**: P-62m (189)
**Crystal system**: hexagonal
**Formation energy from raw total energies**: -2.43 eV per atom

Cell: 3.790 8.439 8.439 Å, 120.00 90.00 90.00°
Atoms (fractional coordinates):
Cs: 0.500 0.333 0.667
Cs: 0.500 0.667 0.333
Cl: 0.000 0.331 0.000
Cl: 0.000 0.669 0.669
Cl: 0.000 0.000 0.331
F: 0.500 0.172 0.172
F: 0.500 0.000 0.828
F: 0.500 0.828 0.000
Pu: 0.000 0.000 0.000

---

VASP calculation (PBE) on an optimized crystal structure of Na2PrY3Te6.

Summary:
**D(E_F)**: 0.32 states/eV/atom
**Space group**: C2/m (12)
**Crystal system**: monoclinic
**Formation energy from raw total energies**: -1.34 eV per atom

Cell: 7.656 7.656 7.811 Å, 99.42 99.42 119.97°
Atoms (fractional coordinates):
Te: 0.249 0.249 0.740
Te: 0.751 0.751 0.260
Te: 0.086 0.422 0.259
Te: 0.422 0.086 0.259
Te: 0.578 0.914 0.741
Te: 0.914 0.578 0.741
Na: 0.667 0.333 0.000
Na: 0.333 0.667 0.000
Y: 0.166 0.834 0.500
Y: 0.834 0.166 0.500
Y: 0.500 0.500 0.500
Pr: 0.000 0.000 0.000

---

VASP calculation (PBE) on an optimized crystal structure of Tb2PrDy5Er.

Summary:
**D(E_F)**: 1.29 states/eV/atom
**Space group**: I4/mcm (140)
**DFT formation energy**: 0.2884 eV per atom
**Crystal system**: tetragonal

Cell: 8.955 8.955 9.697 Å, 117.50 117.50 90.00°
Atoms (fractional coordinates):
Tb: 0.887 0.613 0.000
Tb: 0.613 0.113 0.000
Tb: 0.113 0.387 0.000
Tb: 0.387 0.887 0.000
Dy: 0.927 0.427 0.265
Dy: 0.073 0.573 0.735
Dy: 0.500 0.500 0.000
Dy: 0.427 0.338 0.265
Dy: 0.338 0.838 0.265
Dy: 0.162 0.073 0.735
Dy: 0.662 0.162 0.735
Dy: 0.838 0.927 0.265
Dy: 0.573 0.662 0.735
Dy: 0.000 0.000 0.000
Pr: 0.750 0.750 0.500
Pr: 0.250 0.250 0.500
Er: 0.750 0.250 0.500
Er: 0.250 0.750 0.500

---

VASP calculation (PBE) on an optimized crystal structure of MoRuPtBr2.

Summary:
**D(E_F)**: 1.27 states/eV/atom
**Space group**: P4/mmm (123)
**Crystal system**: tetragonal
**Formation energy from raw total energies**: 1.33 eV per atom

Cell: 4.861 4.826 4.861 Å, 90.00 90.00 90.00°
Atoms (fractional coordinates):
Pt: 0.500 0.500 0.500
Ru: 0.000 0.500 0.000
Mo: 0.000 0.000 0.000
Br: 0.000 0.000 0.500
Br: 0.500 0.000 0.000

---

VASP calculation (PBE) on an optimized crystal structure of SrGeCl6.

Summary:
**D(E_F)**: 0.00 states/eV/atom
**Space group**: C2/m (12)
**Crystal system**: monoclinic
**Formation energy from raw total energies**: -1.32 eV per atom

Cell: 6.829 6.829 6.467 Å, 97.26 97.26 120.76°
Atoms (fractional coordinates):
Sr: 0.000 0.000 0.000
Ge: 0.500 0.500 0.500
Cl: 0.543 0.824 0.720
Cl: 0.746 0.746 0.302
Cl: 0.457 0.176 0.280
Cl: 0.824 0.543 0.720
Cl: 0.176 0.457 0.280
Cl: 0.254 0.254 0.698

---

VASP calculation (PBE) on an optimized crystal structure of PmEr5Hg4.

Summary:
**D(E_F)**: 0.96 states/eV/atom
**Space group**: P4/mmm (123)
**DFT formation energy**: -0.3789 eV per atom
**Crystal system**: tetragonal

Cell: 3.663 3.663 19.921 Å, 90.00 90.00 90.00°
Atoms (fractional coordinates):
Hg: 0.000 0.000 0.782
Hg: 0.000 0.000 0.218
Hg: 0.000 0.000 0.405
Hg: 0.000 0.000 0.595
Er: 0.500 0.500 0.875
Er: 0.500 0.500 0.313
Er: 0.500 0.500 0.125
Er: 0.500 0.500 0.500
Er: 0.500 0.500 0.687
Pm: 0.000 0.000 0.000

---

VASP calculation (PBE) on an optimized crystal structure of KAg5F8.

Summary:
**D(E_F)**: 0.46 states/eV/atom
**Space group**: P1 (1)
**Crystal system**: triclinic
**Formation energy from raw total energies**: -1.31 eV per atom

Cell: 3.559 7.083 9.310 Å, 102.30 98.79 88.61°
Atoms (fractional coordinates):
F: 0.714 0.432 0.623
F: 0.829 0.897 0.591
F: 0.171 0.106 0.407
F: 0.011 0.775 0.134
F: 0.673 0.204 0.143
F: 0.315 0.562 0.371
F: 0.974 0.226 0.868
F: 0.323 0.798 0.859
Ag: 0.729 0.325 0.380
Ag: 0.287 0.675 0.620
Ag: 0.610 0.862 0.325
Ag: 0.995 0.999 0.000
Ag: 0.379 0.139 0.677
K: 0.489 0.501 0.002

---

Question: D(E_F) of number 3 (Na2PrY3Te6)?
Answer: 0.32 states/eV/atom

---

Question: D(E_F) of number 4 (Tb2PrDy5Er)?
Answer: 1.29 states/eV/atom

---

What did the first record say?
VASP calculation (PBE) on an optimized crystal structure of CePrNd6Er2.

Summary:
**D(E_F)**: 2.30 states/eV/atom
**Space group**: C2/m (12)
**DFT formation energy**: 0.2346 eV per atom
**Crystal system**: monoclinic

Cell: 8.970 6.985 6.659 Å, 121.64 100.52 90.00°
Atoms (fractional coordinates):
Nd: 0.199 0.596 0.664
Nd: 0.199 0.068 0.664
Nd: 0.801 0.932 0.336
Nd: 0.419 0.632 0.264
Nd: 0.801 0.404 0.336
Nd: 0.581 0.368 0.736
Er: 0.844 0.907 0.814
Er: 0.156 0.093 0.186
Ce: 0.000 0.500 0.000
Pr: 0.500 0.000 0.000